Below is V2ClO after structural relaxation, with properties calculated at the GGA+U level.

```
V2ClO
1.0
0.000 3.044 3.044
3.044 0.000 3.044
3.044 3.044 0.000
V Cl O
2 1 1
direct
0.250 0.250 0.250
0.750 0.750 0.750
0.000 0.000 0.000
0.500 0.500 0.500
```

Calculated values
* spin magnetization: 7.000 μB per formula unit
* space-group type: Fm-3m, No. 225
* final energy: -5.23 eV/atom
* excess energy over the best structure of this formula in the dataset: 832 meV/atom
* volume: 56.4 Å³/f.u.